(1)
# PBE-GGA CdCoBr, optimized geometry
# * E_form (uncorrected): 0.318 eV/atom
data_CdCoBr
_space_group_name_H-M_alt 'I 4 m m'
_space_group_IT_number 107
_space_group_name_Hall 'I 4 -2'
_cell_length_a 3.1795
_cell_length_b 3.1795
_cell_length_c 12.3617
_cell_angle_alpha 90.00
_cell_angle_beta 90.00
_cell_angle_gamma 90.00
loop_
_atom_site_label
_atom_site_fract_x
_atom_site_fract_y
_atom_site_fract_z
Cd1 0.0000 0.0000 0.0000
Co1 0.0000 0.0000 0.6386
Br1 0.0000 0.0000 0.2530

(2)
# PBE-GGA CrCd2CoBr, optimized geometry
# * E_form (uncorrected): 1.277 eV/atom
data_CrCd2CoBr
_space_group_name_H-M_alt 'P 4/m m m'
_space_group_IT_number 123
_space_group_name_Hall '-P 4 2'
_cell_length_a 5.6550
_cell_length_b 5.6550
_cell_length_c 4.7295
_cell_angle_alpha 90.00
_cell_angle_beta 90.00
_cell_angle_gamma 90.00
loop_
_atom_site_label
_atom_site_fract_x
_atom_site_fract_y
_atom_site_fract_z
Cr1 0.0000 0.0000 0.0000
Cd1 0.0000 0.5000 0.5000
Co1 0.5000 0.5000 0.0000
Br1 0.0000 0.0000 0.5000

(3)
# PBE-GGA CsCdCo2Br8, optimized geometry
# * E_form (uncorrected): -0.677 eV/atom
data_CsCdCo2Br8
_space_group_name_H-M_alt 'R -3'
_space_group_IT_number 148
_space_group_name_Hall '-R 3'
_cell_length_a 6.8290
_cell_length_b 6.8290
_cell_length_c 30.4832
_cell_angle_alpha 90.00
_cell_angle_beta 90.00
_cell_angle_gamma 120.00
loop_
_atom_site_label
_atom_site_fract_x
_atom_site_fract_y
_atom_site_fract_z
Cs1 0.0000 0.0000 0.0000
Cd1 0.0000 0.0000 0.5000
Co1 0.0000 0.0000 0.2446
Br1 0.0000 0.0000 0.3210
Br2 0.0013 0.3320 0.7787

(4)
# PBE-GGA La6CdCo2Br3, optimized geometry
# * E_form (uncorrected): -0.774 eV/atom
data_La6CdCo2Br3
_space_group_name_H-M_alt 'C 1 2/m 1'
_space_group_IT_number 12
_cell_length_a 19.9043
_cell_length_b 4.1722
_cell_length_c 9.4312
_cell_angle_alpha 90.00
_cell_angle_beta 108.50
_cell_angle_gamma 90.00
loop_
_space_group_symop_operation_xyz
'x,y,z'
'-x,-y,-z'
'-x,y,-z'
'x,-y,z'
'x+1/2,y+1/2,z'
'-x+1/2,-y+1/2,-z'
'-x+1/2,y+1/2,-z'
'x+1/2,-y+1/2,z'
loop_
_atom_site_label
_atom_site_fract_x
_atom_site_fract_y
_atom_site_fract_z
La1 0.0349 0.0000 0.2735
La2 0.1676 0.5000 0.1350
La3 0.1862 0.5000 0.5660
Cd1 0.0000 0.5000 0.0000
Co1 0.1715 0.0000 0.3439
Br1 0.0000 0.5000 0.5000
Br2 0.1650 0.0000 0.8389

(5)
# PBE-GGA Na2CdCoBr6, optimized geometry
# * E_form (uncorrected): -0.898 eV/atom
data_Na2CdCoBr6
_space_group_name_H-M_alt 'R 3'
_space_group_IT_number 146
_space_group_name_Hall 'R 3'
_cell_length_a 7.2015
_cell_length_b 7.2015
_cell_length_c 18.5802
_cell_angle_alpha 90.00
_cell_angle_beta 90.00
_cell_angle_gamma 120.00
loop_
_atom_site_label
_atom_site_fract_x
_atom_site_fract_y
_atom_site_fract_z
Na1 0.0000 0.0000 0.0000
Na2 0.0000 0.0000 0.4958
Cd1 0.0000 0.0000 0.2911
Co1 0.0000 0.0000 0.7935
Br1 0.0238 0.6318 0.5490
Br2 0.0541 0.3410 0.3882

(6)
# PBE-GGA Nd6CdCo2Br3, optimized geometry
# * E_form (uncorrected): -0.688 eV/atom
data_Nd6CdCo2Br3
_space_group_name_H-M_alt 'C 1 2/m 1'
_space_group_IT_number 12
_cell_length_a 20.5406
_cell_length_b 4.0065
_cell_length_c 9.1885
_cell_angle_alpha 90.00
_cell_angle_beta 107.70
_cell_angle_gamma 90.00
loop_
_space_group_symop_operation_xyz
'x,y,z'
'-x,-y,-z'
'-x,y,-z'
'x,-y,z'
'x+1/2,y+1/2,z'
'-x+1/2,-y+1/2,-z'
'-x+1/2,y+1/2,-z'
'x+1/2,-y+1/2,z'
loop_
_atom_site_label
_atom_site_fract_x
_atom_site_fract_y
_atom_site_fract_z
Nd1 0.0422 0.0000 0.2800
Nd2 0.1657 0.5000 0.1404
Nd3 0.1863 0.5000 0.5736
Cd1 0.0000 0.5000 0.0000
Co1 0.1748 0.0000 0.3530
Br1 0.0000 0.5000 0.5000
Br2 0.1730 0.0000 0.8473

(7)
# PBE-GGA CdCo2PBr, optimized geometry
# * E_form (uncorrected): 0.437 eV/atom
data_CdCo2PBr
_space_group_name_H-M_alt 'P 4/m m m'
_space_group_IT_number 123
_space_group_name_Hall '-P 4 2'
_cell_length_a 4.1198
_cell_length_b 4.1198
_cell_length_c 6.6919
_cell_angle_alpha 90.00
_cell_angle_beta 90.00
_cell_angle_gamma 90.00
loop_
_atom_site_label
_atom_site_fract_x
_atom_site_fract_y
_atom_site_fract_z
Cd1 0.0000 0.0000 0.0000
Co1 0.0000 0.5000 0.5000
P1 0.5000 0.5000 0.5000
Br1 0.5000 0.5000 0.0000

(8)
# PBE-GGA CdCo2PBr, optimized geometry
# * E_form (uncorrected): 0.324 eV/atom
data_CdCo2PBr
_space_group_name_H-M_alt 'P 4/m m m'
_space_group_IT_number 123
_space_group_name_Hall '-P 4 2'
_cell_length_a 4.3653
_cell_length_b 4.3653
_cell_length_c 5.2729
_cell_angle_alpha 90.00
_cell_angle_beta 90.00
_cell_angle_gamma 90.00
loop_
_atom_site_label
_atom_site_fract_x
_atom_site_fract_y
_atom_site_fract_z
Cd1 0.0000 0.0000 0.0000
Co1 0.0000 0.5000 0.5000
P1 0.0000 0.0000 0.5000
Br1 0.5000 0.5000 0.0000

(9)
# PBE-GGA CdCo2PbBr, optimized geometry
# * E_form (uncorrected): 1.051 eV/atom
data_CdCo2PbBr
_space_group_name_H-M_alt 'P 4/m m m'
_space_group_IT_number 123
_space_group_name_Hall '-P 4 2'
_cell_length_a 5.0378
_cell_length_b 5.0378
_cell_length_c 5.9300
_cell_angle_alpha 90.00
_cell_angle_beta 90.00
_cell_angle_gamma 90.00
loop_
_atom_site_label
_atom_site_fract_x
_atom_site_fract_y
_atom_site_fract_z
Cd1 0.0000 0.0000 0.0000
Co1 0.0000 0.5000 0.5000
Pb1 0.5000 0.5000 0.5000
Br1 0.5000 0.5000 0.0000

(10)
# PBE-GGA Pr6CdCo2Br3, optimized geometry
# * E_form (uncorrected): -0.684 eV/atom
data_Pr6CdCo2Br3
_space_group_name_H-M_alt 'C 1 2/m 1'
_space_group_IT_number 12
_cell_length_a 20.5511
_cell_length_b 4.0496
_cell_length_c 9.2667
_cell_angle_alpha 90.00
_cell_angle_beta 107.85
_cell_angle_gamma 90.00
loop_
_space_group_symop_operation_xyz
'x,y,z'
'-x,-y,-z'
'-x,y,-z'
'x,-y,z'
'x+1/2,y+1/2,z'
'-x+1/2,-y+1/2,-z'
'-x+1/2,y+1/2,-z'
'x+1/2,-y+1/2,z'
loop_
_atom_site_label
_atom_site_fract_x
_atom_site_fract_y
_atom_site_fract_z
Pr1 0.0405 0.0000 0.2784
Pr2 0.1657 0.5000 0.1393
Pr3 0.1859 0.5000 0.5726
Cd1 0.0000 0.5000 0.0000
Co1 0.1742 0.0000 0.3517
Br1 0.0000 0.5000 0.5000
Br2 0.1720 0.0000 0.8462

(11)
# PBE-GGA Sm6CdCo2Br3, optimized geometry
# * E_form (uncorrected): -0.694 eV/atom
data_Sm6CdCo2Br3
_space_group_name_H-M_alt 'C 1 2/m 1'
_space_group_IT_number 12
_cell_length_a 20.5233
_cell_length_b 3.9356
_cell_length_c 9.0641
_cell_angle_alpha 90.00
_cell_angle_beta 107.44
_cell_angle_gamma 90.00
loop_
_space_group_symop_operation_xyz
'x,y,z'
'-x,-y,-z'
'-x,y,-z'
'x,-y,z'
'x+1/2,y+1/2,z'
'-x+1/2,-y+1/2,-z'
'-x+1/2,y+1/2,-z'
'x+1/2,-y+1/2,z'
loop_
_atom_site_label
_atom_site_fract_x
_atom_site_fract_y
_atom_site_fract_z
Sm1 0.0449 0.0000 0.2826
Sm2 0.1659 0.5000 0.1432
Sm3 0.1867 0.5000 0.5753
Cd1 0.0000 0.5000 0.0000
Co1 0.1758 0.0000 0.3560
Br1 0.0000 0.5000 0.5000
Br2 0.1742 0.0000 0.8490

(12)
# PBE-GGA TlCdCo2Br, optimized geometry
# * E_form (uncorrected): 0.890 eV/atom
data_TlCdCo2Br
_space_group_name_H-M_alt 'P 4/m m m'
_space_group_IT_number 123
_space_group_name_Hall '-P 4 2'
_cell_length_a 4.4340
_cell_length_b 4.4340
_cell_length_c 6.3205
_cell_angle_alpha 90.00
_cell_angle_beta 90.00
_cell_angle_gamma 90.00
loop_
_atom_site_label
_atom_site_fract_x
_atom_site_fract_y
_atom_site_fract_z
Tl1 0.0000 0.0000 0.0000
Cd1 0.5000 0.5000 0.0000
Co1 0.0000 0.5000 0.5000
Br1 0.0000 0.0000 0.5000